This record from the Open Quantum Materials Database describes an optimized crystal structure of NaCo3As3H2O12. The functional is GGA+U.

It has space group C2/c (No. 15), with a = 11.986 Å, b = 12.326 Å, c = 6.776 Å, α = 90.00°, β = 112.81° and γ = 90.00°. Symmetry generates all atoms from Na at (0.000, 0.004, 0.250), Co at (0.000, 0.285, 0.750), Co at (0.206, 0.161, 0.614), As at (0.000, 0.312, 0.250), As at (0.220, 0.115, 0.111), H at (0.112, 0.496, 0.300), O at (0.034, 0.235, 0.477), O at (0.117, 0.399, 0.268), O at (0.127, 0.410, 0.835), O at (0.145, 0.005, 0.595), O at (0.153, 0.180, 0.870) and O at (0.209, 0.189, 0.316).

The value obtained for the spin magnetization is 0.14 μB per atom. The total energy comes out at -5.856 eV/atom.